No. 1
The following is a GGA-PBE calculation of a relaxed CrSb2Au crystal, from Alexandria.

Structure (POSCAR):
```
CrSb2Au
1.0
6.273 -1.034 -0.611
5.456 3.264 -0.611
5.456 1.037 3.154
Au Cr Sb
1 1 2
direct
0.489 0.489 0.489
0.762 0.762 0.762
0.030 0.030 0.030
0.219 0.219 0.219
```

Values from the calculation:
Space-group type: No. 160
Raw total energy: -5.0856 eV/atom
D(E_F): 2.19 states/eV per cell
M_tot: 3.5 μB per cell

=====

No. 2
The following is a GGA-PBE calculation of a relaxed PuMnOs2 crystal, from Alexandria.

Structure (POSCAR):
```
PuMnOs2
1.0
3.816 0.000 0.000
0.000 4.086 0.000
0.000 0.000 4.086
Mn Os Pu
1 2 1
direct
0.500 0.500 0.500
0.000 0.000 0.500
0.000 0.500 0.000
0.500 0.000 0.000
```

Values from the calculation:
Space-group type: No. 123
E_form: 0.5 eV per formula unit
Raw total energy: -11.3745 eV/atom
D(E_F): 4.87 states/eV per cell
M_tot: 0.1 μB per cell

=====

No. 3
The following is a GGA-PBE calculation of a relaxed Pm6ScCd crystal, from Alexandria.

Structure (POSCAR):
```
Pm6ScCd
1.0
4.965 0.000 0.000
0.000 4.965 0.000
0.000 0.000 10.089
Pm Sc Cd
6 1 1
direct
0.500 0.500 0.000
0.500 0.500 0.500
0.500 0.000 0.250
0.500 0.000 0.750
0.000 0.500 0.250
0.000 0.500 0.750
0.000 0.000 0.500
0.000 0.000 0.000
```

Values from the calculation:
Space-group type: No. 123
E_form: -0.3 eV per formula unit
Raw total energy: -4.5013 eV/atom
D(E_F): 11.29 states/eV per cell
M_tot: 0.0 μB per cell

=====

No. 4
The following is a GGA-PBE calculation of a relaxed Si5Se crystal, from Alexandria.

Structure (POSCAR):
```
Si5Se
1.0
2.613 0.000 0.000
0.000 2.613 0.000
0.000 0.000 15.182
Si Se
5 1
direct
0.000 0.000 0.773
0.000 0.000 0.227
0.500 0.500 0.642
0.500 0.500 0.358
0.000 0.000 0.500
0.500 0.500 0.000
```

Values from the calculation:
Space-group type: No. 123
Polymorph energy (0 for the lowest one): 5.22 kcal/mol of atoms
Raw total energy: -4.5788 eV/atom
D(E_F): 1.87 states/eV per cell
M_tot: 0.0 μB per cell

=====

Number 1: calculated density 8.4 g/cm3. Number 2: calculated density 17.7 g/cm3. Number 3: calculated density 6.9 g/cm3. Number 4: calculated density 3.5 g/cm3.